A relaxed CePr5Bi5 crystal, computed with PBE.

a = 14.5018 Å, b = 6.5053 Å, c = 9.1716 Å
α = 90.00°, β = 108.54°, γ = 90.00°
Last column: nearest neighbours and their distance in Å.
Space group C2/m (No. 12)
One atom of each set of equivalent atoms:
Ce 0.0000 0.0000 0.0000  6 Bi 3.23-3.25
Pr 0.0000 0.0000 0.5000  4 Bi 3.23-3.25
Pr 0.1652 0.5000 0.8308  5 Bi 3.24-3.26
Pr 0.1682 0.5000 0.3342  5 Bi 3.23-3.25
Bi 0.0000 0.5000 0.0000  4 Pr 3.24-3.25, 2 Ce 3.25
Bi 0.1655 0.0000 0.3325  1 Ce 3.23, 5 Pr 3.23-3.26
Bi 0.1670 0.0000 0.8343  5 Pr 3.23-3.26, 1 Ce 3.24

- total DFT energy (no corrections) (eV/atom) = -5.227
- formation energy (eV per formula unit) = -8.3
- total magnetic moment (μB per formula unit) = 0.9